# Cs2SrGe2Se6 | Alexandria via LeMat-Bulk | GGA-PBE | relaxed
# Total DFT energy (no corrections), eV per atom: -3.885
data_Cs2SrGe2Se6
_space_group_name_H-M_alt 'R -3 m'
_space_group_IT_number 166
_space_group_name_Hall '-R 3 2"'
_cell_length_a 7.6917
_cell_length_b 7.6917
_cell_length_c 26.1834
_cell_angle_alpha 90.00
_cell_angle_beta 90.00
_cell_angle_gamma 120.00
loop_
_atom_site_label
_atom_site_type_symbol
_atom_site_fract_x
_atom_site_fract_y
_atom_site_fract_z
Cs1 Cs 0.0000 0.0000 0.2168
Sr1 Sr 0.0000 0.0000 0.0000
Ge1 Ge 0.0000 0.0000 0.4134
Se1 Se 0.0084 0.5042 0.7533